VASP calculation (PBE) on a relaxed TlSnPb2Se5 crystal. Values from VASP.

```
&SYSTEM
  ibrav = 0, nat = 18, ntyp = 4
/
ATOMIC_SPECIES
Tl 204.38 Tl.upf
Sn 118.71 Sn.upf
Pb 207.20 Pb.upf
Se 78.96 Se.upf
CELL_PARAMETERS angstrom
2.0719 -9.8796 0.0000
2.0719 9.8796 0.0000
0.0000 0.0000 13.1116
ATOMIC_POSITIONS crystal
Tl 0.2048 0.7952 0.5000
Tl 0.7952 0.2048 0.0000
Sn 0.4570 0.5430 0.8933
Sn 0.5430 0.4570 0.3933
Pb 0.1353 0.8647 0.8015
Pb 0.1404 0.8596 0.1452
Pb 0.8596 0.1404 0.6452
Pb 0.8647 0.1353 0.3015
Se 0.0262 0.9738 0.5152
Se 0.2878 0.7122 0.1634
Se 0.3335 0.6665 0.8288
Se 0.3514 0.6486 0.4800
Se 0.4708 0.5292 0.2334
Se 0.5292 0.4708 0.7334
Se 0.6486 0.3514 0.9800
Se 0.6665 0.3335 0.3288
Se 0.7122 0.2878 0.6634
Se 0.9738 0.0262 0.0152
```

Properties
Energy relative to the elements, uncorrected in eV/atom: -0.3723
Total magnetization in μB/f.u.: 0.00
E_tot in eV per cell: -69.12
ρ in Mg/m³: 7.01
DOS at the Fermi energy in states/eV/atom: 0.3420